[1]
The following is a PBE calculation of a relaxed SmDy2ErTe6 crystal, from Alexandria.

abc: 7.720 7.720 8.331
angles: 62.40 62.39 60.00
Atoms (fractional coordinates):
1 Te 0.233 0.918 0.249
2 Te 0.729 0.110 0.753
3 Te 0.600 0.233 0.249
4 Te 0.918 0.600 0.249
5 Te 0.408 0.729 0.753
6 Te 0.110 0.408 0.753
7 Dy 0.008 0.008 0.975
8 Dy 0.510 0.510 0.471
9 Er 0.323 0.323 0.030
10 Sm 0.822 0.822 0.535

## Properties
Crystal system: trigonal
ρ in g cm⁻³: 6.44
Formation energy from raw total energies in eV per formula unit: -13.60
Calculated total energy in eV/atom: -5.09


[2]
The following is a PBE calculation of a relaxed Tm3MgPd12 crystal, from Alexandria.

abc: 4.067 4.067 16.220
angles: 90.00 90.00 90.00
Atoms (fractional coordinates):
1 Pd 0.500 0.000 0.627
2 Pd 0.500 0.500 0.000
3 Pd 0.500 0.500 0.500
4 Pd 0.000 0.500 0.627
5 Pd 0.500 0.000 0.373
6 Pd 0.000 0.500 0.119
7 Pd 0.500 0.000 0.881
8 Pd 0.500 0.500 0.246
9 Pd 0.500 0.500 0.754
10 Pd 0.000 0.500 0.373
11 Pd 0.500 0.000 0.119
12 Pd 0.000 0.500 0.881
13 Tm 0.000 0.000 0.755
14 Tm 0.000 0.000 0.245
15 Tm 0.000 0.000 0.500
16 Mg 0.000 0.000 0.000

## Properties
Crystal system: tetragonal
E_form in eV/atom: -0.7964
ρ in g cm⁻³: 11.19
Calculated total energy in eV/atom: -5.63


[3]
The following is a PBE calculation of a relaxed MnIn2Hg crystal, from Alexandria.

abc: 3.174 3.174 8.831
angles: 90.00 90.00 90.01
Each line ends with the local moment (μB).
Atoms (fractional coordinates):
1 Mn 0.000 0.000 0.501  3.58
2 In 0.000 0.000 0.995  -0.03
3 In 0.500 0.500 0.294  -0.04
4 Hg 0.500 0.500 0.710  -0.01

## Properties
Crystal system: tetragonal
E_form in eV/atom: 0.1910
ρ in g cm⁻³: 9.05
Calculated total energy in eV/atom: -3.55


[4]
The following is a PBE calculation of a relaxed ScI3 crystal, from Alexandria.

abc: 10.457 10.457 7.956
angles: 48.92 48.92 90.00
Atoms (fractional coordinates):
1 Sc 0.500 0.500 0.000
2 Sc 0.250 0.750 0.500
3 I 0.750 0.250 0.500
4 I 0.486 0.125 0.250
5 I 0.000 0.000 0.000
6 I 0.375 0.514 0.750
7 I 0.875 0.736 0.750
8 I 0.264 0.625 0.250

## Properties
Crystal system: tetragonal
ρ in g cm⁻³: 4.40
Formation energy from raw total energies in eV per formula unit: -3.82
Calculated total energy in eV/atom: -3.70


[5]
The following is a PBE calculation of a relaxed Li4PRh crystal, from Alexandria.

abc: 4.243 4.823 7.778
angles: 71.80 90.00 89.99
Atoms (fractional coordinates):
1 P 0.750 0.627 0.246
2 P 0.250 0.373 0.754
3 Li 0.250 0.294 0.415
4 Li 0.250 0.791 0.415
5 Li 0.750 0.541 0.918
6 Li 0.750 0.209 0.585
7 Li 0.250 0.959 0.082
8 Li 0.750 0.041 0.918
9 Li 0.250 0.459 0.082
10 Li 0.750 0.706 0.585
11 Rh 0.250 0.878 0.743
12 Rh 0.750 0.122 0.257

## Properties
Crystal system: monoclinic
Energy relative to the lowest polymorph listed for this composition in kJ/mol of atoms: 0.00
E_form in eV/atom: -0.4737
ρ in g cm⁻³: 3.55
Calculated total energy in eV/atom: -3.88


[6]
The following is a PBE calculation of a relaxed Fe4IrRh crystal, from Alexandria.

abc: 2.931 4.993 5.874
angles: 72.83 90.01 72.96
Each line ends with the local moment (μB).
Atoms (fractional coordinates):
1 Rh 0.501 0.495 0.502  0.96
2 Fe 0.828 0.841 0.166  2.89
3 Fe 0.828 0.841 0.665  2.86
4 Fe 0.173 0.150 0.338  2.86
5 Fe 0.173 0.149 0.838  2.89
6 Ir 0.501 0.495 0.002  0.75

## Properties
Crystal system: monoclinic
Energy relative to the lowest polymorph listed for this composition in kJ/mol of atoms: 0.00
E_form in eV/atom: -0.0380
ρ in g cm⁻³: 11.01
Calculated total energy in eV/atom: -8.38


- The highest ρ belongs to which entry?
  Tm3MgPd12